(1)
This record from the Alexandria database describes a geometry-optimized Nd6Y8Pb structure. The functional is PBE.

abc: 6.462 9.542 9.542
angles: 120.00 90.00 90.00
Sites, in units of the cell vectors:
Nd (0.683, 0.638, 0.091)
Nd (0.683, 0.909, 0.548)
Nd (0.683, 0.452, 0.362)
Nd (0.317, 0.362, 0.909)
Nd (0.317, 0.091, 0.452)
Nd (0.317, 0.548, 0.638)
Y (0.812, 0.037, 0.262)
Y (0.812, 0.738, 0.775)
Y (0.812, 0.225, 0.963)
Y (0.188, 0.963, 0.738)
Y (0.188, 0.262, 0.225)
Y (0.188, 0.775, 0.037)
Y (0.836, 0.333, 0.667)
Y (0.164, 0.667, 0.333)
Pb (0.500, 0.000, 0.000)

Calculated values
- total magnetization (Bohr magnetons per cell) = 0.0
- E_form (eV per atom) = 0.05
- calculated volume (Å³/cell) = 509.5
- final energy (eV per atom) = -5.5482


(2)
This record from the Alexandria database describes a geometry-optimized Sc2Te2H structure. The functional is PBE.

abc: 7.533 7.533 3.918
angles: 90.00 90.00 90.00
Sites, in units of the cell vectors:
Sc (0.351, 0.851, 0.000)
Sc (0.851, 0.649, 0.000)
Sc (0.649, 0.149, 0.000)
Sc (0.149, 0.351, 0.000)
H (0.000, 0.000, 0.000)
H (0.500, 0.500, 0.000)
Te (0.155, 0.655, 0.500)
Te (0.655, 0.845, 0.500)
Te (0.845, 0.345, 0.500)
Te (0.345, 0.155, 0.500)

Calculated values
- total magnetization (Bohr magnetons per cell) = 1.5
- polymorph energy (0 for the lowest one) (eV per formula unit) = 1.361
- calculated volume (Å³/cell) = 222.3
- final energy (eV per atom) = -5.1603


Please write out number 2 again, unchanged.
This record from the Alexandria database describes a geometry-optimized Sc2Te2H structure. The functional is PBE.

abc: 7.533 7.533 3.918
angles: 90.00 90.00 90.00
Sites, in units of the cell vectors:
Sc (0.351, 0.851, 0.000)
Sc (0.851, 0.649, 0.000)
Sc (0.649, 0.149, 0.000)
Sc (0.149, 0.351, 0.000)
H (0.000, 0.000, 0.000)
H (0.500, 0.500, 0.000)
Te (0.155, 0.655, 0.500)
Te (0.655, 0.845, 0.500)
Te (0.845, 0.345, 0.500)
Te (0.345, 0.155, 0.500)

Calculated values
- total magnetization (Bohr magnetons per cell) = 1.5
- polymorph energy (0 for the lowest one) (eV per formula unit) = 1.361
- calculated volume (Å³/cell) = 222.3
- final energy (eV per atom) = -5.1603